5
Lattice="4.339 0.613 3.613 -1.291 1.484 5.328 -1.740 -3.920 -3.723" Properties=species:S:1:pos:R:3 comment="GGA-PBE TbSi2TcIr, optimized geometry" sg="I-4m2 (119)" magnetic_moment_mub_per_fu=0.00 crystal_system=tetragonal dft_energy_ev_per_atom=-7.837 pbc="T T T"
Ir 0.000 0.000 0.000
Si 1.669 -1.399 1.030
Si 2.453 -0.859 3.331
Tb -0.754 -0.693 3.038
Tc 1.524 1.049 4.471